Entry from the Alexandria database: Nd4TlSbTe2 after structural relaxation (PBE).

Cell lengths 7.872, 4.453, 7.877 Å; angles 90.00, 108.75, 90.00 degrees
Space group P2/m (No. 10)
Asymmetric unit:
Nd (0.247, 0.000, 0.241) (multiplicity 2)
Nd (0.250, 0.500, 0.754) (multiplicity 2)
Tl (0.500, 0.000, 0.000) (multiplicity 1)
Sb (0.000, 0.500, 0.000) (multiplicity 1)
Te (0.000, 0.000, 0.500) (multiplicity 1)
Te (0.500, 0.500, 0.500) (multiplicity 1)

- Formation energy without anion corrections: -1.1196 eV per atom
- Volume: 261.4 Å³/cell
- Density of states at the Fermi level: 2.9 states/eV/f.u.



Entry from the Alexandria database: Ca2AcAgHg4 after structural relaxation (PBE).

Cell lengths 5.2168, 5.2168, 28.1742 Å; angles 90.00, 90.00, 120.00 degrees
Space group R-3m (No. 166, hexagonal axes)
Asymmetric unit:
Ca (0.0000, 0.0000, 0.2345) (multiplicity 6)
Ac (0.0000, 0.0000, 0.0000) (multiplicity 3)
Ag (0.0000, 0.0000, 0.5000) (multiplicity 3)
Hg (0.0000, 0.0000, 0.1229) (multiplicity 6)
Hg (0.0000, 0.0000, 0.3880) (multiplicity 6)

- Formation enthalpy at 0 K: -306 kJ/mol of formula units
- Volume: 664.0 Å³/cell
- Density of states at the Fermi level: 4.9 states/eV/f.u.



Entry from the Alexandria database: HfBCl3 after structural relaxation (PBE).

Cell lengths 4.965, 4.965, 4.965 Å; angles 90.00, 90.00, 90.00 degrees
Space group Pm-3m (No. 221)
Asymmetric unit:
Hf (0.000, 0.000, 0.000) (multiplicity 1)
B (0.500, 0.500, 0.500) (multiplicity 1)
Cl (0.000, 0.000, 0.500) (multiplicity 3)

- Formation energy without anion corrections: 0.0117 eV per atom
- Volume: 122.4 Å³/cell
- Density of states at the Fermi level: 4.3 states/eV/f.u.



Entry from the Alexandria database: ZnTe2P after structural relaxation (PBE).

Cell lengths 3.817, 3.840, 8.475 Å; angles 90.00, 90.00, 90.00 degrees
Space group Pmmm (No. 47)
Asymmetric unit:
Zn (0.000, 0.000, 0.000) (multiplicity 1)
Te (0.000, 0.500, 0.500) (multiplicity 1)
Te (0.500, 0.500, 0.000) (multiplicity 1)
P (0.500, 0.000, 0.500) (multiplicity 1)

- Formation energy without anion corrections: 0.2975 eV per atom
- Volume: 124.2 Å³/cell
- Density of states at the Fermi level: 4.7 states/eV/f.u.



Entry from the Alexandria database: Si3AgBi after structural relaxation (PBE).

Cell lengths 4.905, 4.905, 4.905 Å; angles 90.00, 90.00, 90.00 degrees
Space group Pm-3m (No. 221)
Asymmetric unit:
Si (0.000, 0.000, 0.500) (multiplicity 3)
Ag (0.000, 0.000, 0.000) (multiplicity 1)
Bi (0.500, 0.500, 0.500) (multiplicity 1)

- Formation energy without anion corrections: 0.9338 eV per atom
- Volume: 118.0 Å³/cell
- Density of states at the Fermi level: 4.9 states/eV/f.u.



Entry from the Alexandria database: CsAg4Br8 after structural relaxation (PBE).

Cell lengths 8.1015, 8.1015, 26.5013 Å; angles 90.00, 90.00, 120.00 degrees
Space group R-3m (No. 166, hexagonal axes)
Asymmetric unit:
Cs (0.0000, 0.0000, 0.0000) (multiplicity 3)
Ag (0.0000, 0.0000, 0.5000) (multiplicity 3)
Ag (0.0000, 0.5000, 0.5000) (multiplicity 9)
Br (0.0000, 0.0000, 0.2234) (multiplicity 6)
Br (0.9999, 0.4999, 0.2254) (multiplicity 18)

- Formation energy without anion corrections: -0.4385 eV per atom
- Volume: 1506.4 Å³/cell
- Density of states at the Fermi level: 24.8 states/eV/f.u.



Number 1: spin magnetization 0.0 μB/cell. Number 2: spin magnetization 0.0 μB/cell. Number 3: spin magnetization 1.1 μB/cell. Number 4: spin magnetization 0.2 μB/cell. Number 5: spin magnetization 0.0 μB/cell. Number 6: spin magnetization 7.6 μB/cell.